## Nd2Sm4HoTm (PBE-GGA)

Data for an optimized crystal structure of Nd2Sm4HoTm.

Lattice parameters (Å, degrees): 10.228 10.182 12.485 144.63 114.14 89.98
Sites, in units of the cell vectors:
Nd: 0.500 0.000 0.000
Nd: 0.500 0.000 0.500
Nd: 0.000 0.000 0.500
Nd: 0.500 0.500 0.000
Sm: 0.248 0.754 0.001
Sm: 0.752 0.257 0.504
Sm: 0.248 0.743 0.496
Sm: 0.752 0.246 0.999
Sm: 0.752 0.753 0.999
Sm: 0.752 0.751 0.504
Sm: 0.248 0.249 0.496
Sm: 0.248 0.247 0.001
Ho: 0.000 0.500 0.000
Ho: 0.000 0.500 0.500
Tm: 0.500 0.500 0.500
Tm: 0.000 0.000 0.000

Properties
- Energy relative to the elements: 0.016 eV/atom
- Magnetic moment: 0.000 μB per formula unit
- Symmetry: P2/m (10)

***

## NdSm5HoTm2 (PBE-GGA)

Data for an optimized crystal structure of NdSm5HoTm2.

Lattice parameters (Å, degrees): 5.623 10.483 10.688 90.00 90.00 105.56
Sites, in units of the cell vectors:
Nd: 0.799 0.597 0.510
Nd: 0.201 0.403 0.010
Sm: 0.392 0.785 0.025
Sm: 0.718 0.437 0.808
Sm: 0.479 0.958 0.741
Sm: 0.298 0.596 0.705
Sm: 0.983 0.967 0.523
Sm: 0.608 0.215 0.525
Sm: 0.282 0.563 0.308
Sm: 0.521 0.042 0.241
Sm: 0.702 0.404 0.205
Sm: 0.017 0.033 0.023
Ho: 0.588 0.176 0.956
Ho: 0.412 0.824 0.456
Tm: 0.884 0.769 0.818
Tm: 0.110 0.219 0.739
Tm: 0.116 0.231 0.318
Tm: 0.890 0.781 0.239

Properties
- Energy relative to the elements: 0.151 eV/atom
- Magnetic moment: 0.000 μB per formula unit
- Symmetry: Cmc2_1 (36)

***

## Nd2SmHoTm4 (PBE-GGA)

Data for an optimized crystal structure of Nd2SmHoTm4.

Lattice parameters (Å, degrees): 12.259 7.121 12.262 106.89 146.25 89.99
Sites, in units of the cell vectors:
Nd: 0.500 0.000 0.000
Nd: 0.500 0.000 0.500
Nd: 0.000 0.000 0.500
Nd: 0.500 0.500 0.000
Sm: 0.000 0.500 0.000
Sm: 0.000 0.500 0.500
Ho: 0.500 0.500 0.500
Ho: 0.000 0.000 0.000
Tm: 0.249 0.751 0.001
Tm: 0.750 0.251 0.502
Tm: 0.250 0.749 0.498
Tm: 0.751 0.249 0.999
Tm: 0.750 0.749 0.998
Tm: 0.750 0.750 0.502
Tm: 0.250 0.250 0.498
Tm: 0.250 0.251 0.002

Properties
- Energy relative to the elements: 0.020 eV/atom
- Magnetic moment: 0.000 μB per formula unit
- Symmetry: C2/m (12)

***

## NdSm2Ho2Tm2 (PBE-GGA)

Data for an optimized crystal structure of NdSm2Ho2Tm2.

Lattice parameters (Å, degrees): 5.934 6.877 6.251 100.04 90.00 115.56
Sites, in units of the cell vectors:
Nd: 0.000 0.000 0.500
Sm: 0.576 0.153 0.789
Sm: 0.424 0.847 0.211
Ho: 0.143 0.286 0.075
Ho: 0.857 0.714 0.925
Tm: 0.715 0.430 0.354
Tm: 0.285 0.570 0.646

Properties
- Energy relative to the elements: 0.127 eV/atom
- Magnetic moment: 0.000 μB per formula unit
- Symmetry: C2/m (12)